Record 1
Computed, not measured: a geometry-optimized Mo2PSe structure at the PBE-GGA level of DFT.

```
Mo2PSe
1.0
-3.532 -4.238 -0.779
3.231 -1.938 -4.105
2.674 -6.115 1.211
P Mo Se
2 4 2
Direct
0.500 0.500 0.000 P
0.250 0.750 0.500 P
0.147 0.625 0.250 Mo
0.875 0.853 0.750 Mo
0.375 0.397 0.750 Mo
0.603 0.125 0.250 Mo
0.750 0.250 0.500 Se
0.000 0.000 0.000 Se
```

Output
- N(E_F): 10.8 states/eV per cell
- Total magnetic moment: 4.500 μB/cell
- Symmetry: No. 122
- Formation energy without anion corrections: 0.328 eV/atom
- V: 171.4 Å³ per cell
- Polymorph energy (0 for the lowest one): 0.610 eV per atom

***

Record 2
Computed, not measured: a geometry-optimized Ac2InAs3Ir4 structure at the PBE-GGA level of DFT.

```
Ac2InAs3Ir4
1.0
-1.104 -0.411 4.127
0.063 -4.272 -0.409
10.721 -0.116 2.856
Ac Ir As In
2 4 3 1
Direct
0.000 0.500 0.755 Ac
0.500 0.000 0.245 Ac
0.500 0.000 0.651 Ir
0.000 0.500 0.349 Ir
0.500 0.500 0.000 Ir
0.000 0.000 0.000 Ir
0.000 0.500 0.128 As
0.500 0.000 0.872 As
0.000 0.000 0.500 As
0.500 0.500 0.500 In
```

Output
- Calculated formation energy: -634 meV/atom
- N(E_F): 4.0 states/eV per cell
- Total magnetic moment: 0.000 μB/cell
- Symmetry: No. 115
- V: 204.4 Å³ per cell

***

Record 3
Computed, not measured: a geometry-optimized Co2IrRh9 structure at the PBE-GGA level of DFT.

```
Co2IrRh9
1.0
3.813 0.000 0.000
0.000 3.813 0.000
0.000 0.000 11.384
Ir Rh Co
1 9 2
Direct
0.000 0.000 0.000 Ir
0.500 0.000 0.500 Rh
0.500 0.000 0.830 Rh
0.000 0.500 0.500 Rh
0.500 0.500 0.000 Rh
0.000 0.500 0.830 Rh
0.500 0.500 0.334 Rh
0.000 0.500 0.170 Rh
0.500 0.500 0.666 Rh
0.500 0.000 0.170 Rh
0.000 0.000 0.336 Co
0.000 0.000 0.664 Co
```

Output
- Calculated formation energy: 35 meV/atom
- N(E_F): 19.4 states/eV per cell
- Total magnetic moment: 5.204 μB/cell
- Symmetry: No. 123
- V: 165.5 Å³ per cell

***

Record 4
Computed, not measured: a geometry-optimized Pr5BSe4 structure at the PBE-GGA level of DFT.

```
Pr5BSe4
1.0
5.381 0.000 2.595
2.691 6.696 1.298
-0.218 0.000 7.328
Pr Se B
5 4 1
Direct
0.726 0.184 0.367 Pr
0.277 0.816 0.633 Pr
0.909 0.367 0.816 Pr
0.093 0.633 0.184 Pr
0.500 0.000 0.000 Pr
0.406 0.397 0.792 Se
0.198 0.208 0.397 Se
0.804 0.792 0.603 Se
0.596 0.603 0.208 Se
0.002 0.000 0.000 B
```

Output
- N(E_F): 3.4 states/eV per cell
- Total magnetic moment: 0.000 μB/cell
- Symmetry: No. 79
- Formation energy without anion corrections: -1.517 eV/atom
- V: 267.8 Å³ per cell